# 1
AcZn2Cd10: relaxed, GGA-PBE.

Summary:
space group = Fmmm

Lattice parameters (Å, degrees): 9.944 7.634 7.620 81.37 49.37 49.26
Fractional positions:
Ac: 0.000 0.000 0.000
Zn: 0.000 0.500 0.000
Zn: 0.500 0.000 0.500
Cd: 0.000 0.000 0.500
Cd: 0.007 0.351 0.649
Cd: 0.281 0.493 0.507
Cd: 0.351 0.007 0.993
Cd: 0.493 0.281 0.719
Cd: 0.500 0.500 0.000
Cd: 0.507 0.719 0.281
Cd: 0.649 0.993 0.007
Cd: 0.719 0.507 0.493
Cd: 0.993 0.649 0.351


# 2
Ac6ZnCd5: relaxed, GGA-PBE.

Summary:
space group = P2/m

Lattice parameters (Å, degrees): 5.718 8.109 9.045 90.00 108.23 90.00
Fractional positions:
Ac: 0.000 0.242 0.000
Ac: 0.000 0.758 0.000
Ac: 0.336 0.246 0.673
Ac: 0.336 0.754 0.673
Ac: 0.664 0.246 0.327
Ac: 0.664 0.754 0.327
Zn: 0.500 0.000 0.000
Cd: 0.169 0.500 0.335
Cd: 0.170 0.000 0.338
Cd: 0.500 0.500 0.000
Cd: 0.830 0.000 0.662
Cd: 0.831 0.500 0.665


# 3
Ac3Zn4Cd4: relaxed, GGA-PBE.

Summary:
space group = Immm
E above lowest polymorph = 11 meV per atom

Lattice parameters (Å, degrees): 9.001 9.001 9.001 149.43 129.40 60.28
Fractional positions:
Ac: 0.000 0.000 0.000
Ac: 0.371 0.871 0.500
Ac: 0.629 0.129 0.500
Zn: 0.220 0.220 0.000
Zn: 0.327 0.500 0.827
Zn: 0.673 0.500 0.173
Zn: 0.780 0.780 0.000
Cd: 0.024 0.332 0.692
Cd: 0.359 0.668 0.692
Cd: 0.641 0.332 0.308
Cd: 0.976 0.668 0.308


# 4
Ac2ZnCd7: relaxed, GGA-PBE.

Summary:
space group = P-4m2

Lattice parameters (Å, degrees): 4.777 4.777 11.690 90.00 90.00 90.00
Fractional positions:
Ac: 0.000 0.500 0.240
Ac: 0.500 0.000 0.760
Zn: 0.500 0.500 0.000
Cd: 0.000 0.000 0.000
Cd: 0.000 0.000 0.500
Cd: 0.000 0.500 0.639
Cd: 0.000 0.500 0.875
Cd: 0.500 0.000 0.125
Cd: 0.500 0.000 0.361
Cd: 0.500 0.500 0.500


Calculated energy of formation from the pure elements (eV per atom), listed in the same order as above: -0.134 -0.283 -0.261 -0.233
Calculated final energy (eV per atom), listed in the same order as above: -1.35 -2.82 -2.18 -1.82